Density functional theory data (PBE-GGA) for a relaxed structure of Pm4NiCI2.

Properties
- V (Å³/f.u.) = 217.38
- E_form (uncorrected) (meV/atom) = -627
- D(E_F) (states/eV/atom) = 0.74
- raw total energy (eV/atom) = -5.27
- magnetic moment (μB per cell) = 0.0

Unit cell a=3.9073 b=7.1787 c=8.0808 alpha=106.45 beta=90.00 gamma=90.00
Element x y z (fractional)
Pm1 0.0000 0.2989 0.8230
I1 0.0000 0.5000 0.5000
Pm2 0.5000 0.2351 0.1768
C1 0.5000 0.5000 0.0000
Pm3 0.0000 0.7011 0.1770
I2 0.5000 0.0000 0.5000
Pm4 0.5000 0.7649 0.8232
Ni1 0.0000 0.0000 0.0000